No. 1
## ZnMoW (PBE-GGA)

Data for a geometry-optimized ZnMoW structure.

Properties
The calculation puts the polymorph energy (0 for the lowest one) at 0.0382 eV per atom.

```
ZnMoW
1.0
-1.656 1.656 4.241
1.656 -1.656 4.241
1.656 1.656 -4.241
Zn Mo W
1 1 1
Cartesian
0.000 0.000 0.000
0.000 0.000 5.698
0.000 0.000 2.783
```

No. 2
## NaCrI3 (PBE-GGA)

Data for a geometry-optimized NaCrI3 structure.

Properties
The calculation puts the polymorph energy (0 for the lowest one) at 0.0000 eV per atom. The calculation puts the uncorrected formation energy at -0.52 eV per atom.

```
NaCrI3
1.0
5.670 0.000 0.000
0.000 5.670 0.000
0.000 0.000 5.670
Na Cr I
1 1 3
Cartesian
0.000 0.000 0.000
2.835 2.835 2.835
0.000 2.835 2.835
2.835 0.000 2.835
2.835 2.835 0.000
```

No. 3
## KBe2Zn (PBE-GGA)

Data for a geometry-optimized KBe2Zn structure.

Properties
Its calculated total energy is -1.90 eV per atom.

```
KBe2Zn
1.0
2.863 0.000 0.000
0.000 2.863 0.000
0.000 0.000 7.991
K Be Zn
1 2 1
Cartesian
0.000 0.000 0.000
0.000 0.000 4.401
1.431 1.431 5.321
1.431 1.431 2.751
```

No. 4
## HgIrN3 (PBE-GGA)

Data for a geometry-optimized HgIrN3 structure.

Properties
The calculation puts the uncorrected formation energy at 1.56 eV per atom.

```
HgIrN3
1.0
3.929 0.000 0.000
0.000 3.929 0.000
0.000 0.000 3.929
Hg Ir N
1 1 3
Cartesian
0.000 0.000 0.000
1.965 1.965 1.965
0.000 1.965 1.965
1.965 0.000 1.965
1.965 1.965 0.000
```

No. 5
## PaAlPb2O6 (PBE-GGA)

Data for a geometry-optimized PaAlPb2O6 structure.

Properties
The calculation puts the uncorrected formation energy at -2.34 eV per atom.

```
PaAlPb2O6
1.0
5.633 0.000 0.000
0.000 5.633 0.000
0.000 0.000 4.609
Pa Al Pb O
1 1 2 6
Cartesian
0.000 0.000 0.000
2.817 2.817 4.467
0.000 2.817 2.030
2.817 0.000 2.030
0.000 0.000 2.372
1.495 1.495 0.296
1.495 4.138 0.296
2.817 2.817 2.680
4.138 1.495 0.296
4.138 4.138 0.296
```

No. 6
## BiP2IrSe (PBE-GGA)

Data for a geometry-optimized BiP2IrSe structure.

Properties
The calculation puts the uncorrected formation energy at 0.31 eV per atom.

```
BiP2IrSe
1.0
4.438 0.000 0.000
0.000 4.438 0.000
0.000 0.000 6.141
Bi P Ir Se
1 2 1 1
Cartesian
0.000 0.000 0.000
0.000 2.219 3.071
2.219 0.000 3.071
0.000 0.000 3.071
2.219 2.219 0.000
```

No. 7
## Pm3Er12Tm (PBE-GGA)

Data for a geometry-optimized Pm3Er12Tm structure.

Properties
Its calculated total energy is -4.57 eV per atom.

```
Pm3Er12Tm
1.0
4.994 0.000 0.000
0.000 4.994 0.000
0.000 0.000 19.986
Pm Er Tm
3 12 1
Cartesian
0.000 0.000 0.000
0.000 0.000 5.011
0.000 0.000 14.975
0.000 2.497 2.511
0.000 2.497 7.533
0.000 2.497 12.453
0.000 2.497 17.475
2.497 0.000 2.511
2.497 0.000 7.533
2.497 0.000 12.453
2.497 0.000 17.475
2.497 2.497 0.000
2.497 2.497 5.027
2.497 2.497 9.993
2.497 2.497 14.959
0.000 0.000 9.993
```

No. 8
## RbDyAgBr6 (PBE-GGA)

Data for a geometry-optimized RbDyAgBr6 structure.

Properties
The calculation puts the uncorrected formation energy at -1.29 eV per atom.

```
RbDyAgBr6
1.0
7.128 0.000 0.000
-3.038 6.463 0.000
-0.342 -0.512 7.674
Rb Dy Ag Br
1 1 1 6
Cartesian
0.000 0.000 0.000
0.198 4.048 3.847
3.713 1.810 3.843
-1.161 1.958 5.248
-1.776 3.890 1.975
-0.483 5.894 5.733
1.688 2.239 2.187
2.466 3.454 5.504
1.510 6.169 2.446
```

No. 9
## Rb2FeTePb (PBE-GGA)

Data for a geometry-optimized Rb2FeTePb structure.

Properties
The calculation puts the uncorrected formation energy at 0.29 eV per atom.

```
Rb2FeTePb
1.0
6.164 0.000 0.000
0.000 6.164 0.000
0.000 0.000 5.118
Rb Fe Te Pb
2 1 1 1
Cartesian
0.000 3.082 0.000
3.082 0.000 0.000
0.000 0.000 0.000
3.082 3.082 2.559
0.000 0.000 2.559
```

No. 10
## Be3RuC (PBE-GGA)

Data for a geometry-optimized Be3RuC structure.

Properties
The calculation puts the polymorph energy (0 for the lowest one) at 1.5739 eV per atom.

```
Be3RuC
1.0
4.102 0.000 0.000
0.000 4.102 0.000
0.000 0.000 4.102
Be Ru C
3 1 1
Cartesian
0.000 0.000 2.051
0.000 2.051 0.000
2.051 0.000 0.000
0.000 0.000 0.000
2.051 2.051 2.051
```